Computed, not measured: an optimized crystal structure of RbFeIrAu2 at the GGA-PBEsol level of DFT.

Cell: 4.3845 4.9601 4.9601 Å, 90.00 90.00 90.00°
Closest atoms and distances in Å follow each position.
Fractional positions:
Fe 0.0000 0.0000 0.0000  2 Ir 2.19
Au 0.0000 0.0000 0.5000  2 Fe 2.48
Ir 0.5000 0.0000 0.0000  2 Fe 2.19
Au 0.0000 0.5000 0.0000  2 Fe 2.48
Rb 0.5000 0.5000 0.5000  8 Au 3.31, 4 Ir 3.51

Density of states at the Fermi level, states/eV/atom: 0.927
E_tot, eV/atom: -4.725
SG: P4/mmm (123)
DFT formation energy, meV per atom: 807

=====

Computed, not measured: an optimized crystal structure of KFeAu at the GGA-PBEsol level of DFT.

Cell: 4.9035 4.9035 4.9035 Å, 60.00 60.00 60.00°
Closest atoms and distances in Å follow each position.
Fractional positions:
Au 0.0000 0.0000 0.0000  4 K 3.00
Fe 0.5000 0.5000 0.5000  4 K 3.00
K 0.2500 0.2500 0.2500  4 Fe 3.00, 4 Au 3.00

Density of states at the Fermi level, states/eV/atom: 1.041
E_tot, eV/atom: -3.130
SG: F-43m (216)
DFT formation energy, meV per atom: 1544
Distance to the lowest polymorph of the same formula, eV/atom: 1.091

=====

Computed, not measured: an optimized crystal structure of K2FeAu at the GGA-PBEsol level of DFT.

Cell: 5.1725 5.1725 5.1725 Å, 60.00 60.00 60.00°
Closest atoms and distances in Å follow each position.
Fractional positions:
K 0.0000 0.0000 0.0000  4 K 3.17, 4 Fe 3.17
Au 0.5000 0.5000 0.5000  4 Fe 3.17, 4 K 3.17
Fe 0.2500 0.2500 0.2500  4 K 3.17, 4 Au 3.17
K 0.7500 0.7500 0.7500  4 K 3.17, 4 Au 3.17

Density of states at the Fermi level, states/eV/atom: 0.503
E_tot, eV/atom: -3.067
SG: F-43m (216)
DFT formation energy, meV per atom: 721